Record 1
{
  "formula": "CaHoMgCd",
  "functional": "GGA-PBE",
  "state": "optimized geometry",
  "polymorph_energy_ev_per_atom": 0.011,
  "dos_ef_per_ev_cell": 3.57,
  "e_tot_ev_per_cell": -9.867,
  "ef_ev_per_atom": -0.1945,
  "cell": [[5.383, 0.000, 0.000], [2.691, 4.661, 0.000], [2.691, 1.554, 4.395]],
  "species": ["Mg", "Ho", "Ca", "Cd"],
  "frac_coords": [[0.250, 0.250, 0.250], [0.500, 0.500, 0.500], [0.000, 0.000, 0.000], [0.750, 0.750, 0.750]]
}

=====

Record 2
{
  "formula": "CaHoMgCd",
  "functional": "GGA-PBE",
  "state": "optimized geometry",
  "polymorph_energy_ev_per_atom": 0.000,
  "dos_ef_per_ev_cell": 3.38,
  "e_tot_ev_per_cell": -9.910,
  "ef_ev_per_atom": -0.2052,
  "cell": [[3.836, 0.000, 0.000], [0.000, 3.836, 0.000], [0.000, 0.000, 7.591]],
  "species": ["Ho", "Mg", "Ca", "Cd"],
  "frac_coords": [[0.000, 0.000, 0.348], [0.500, 0.500, 0.593], [0.000, 0.000, 0.864], [0.500, 0.500, 0.122]]
}